# 1
This record from Alexandria via LeMat-Bulk describes AlPbAu6 after structural relaxation. The functional is GGA-PBE.

Values from the calculation:
Uncorrected energy, eV/atom: -3.5132
Formation energy, kJ/mol of formula units: -95.6
Density, g cm⁻³: 14.12

abc: 4.010 4.010 10.356
angles: 90.00 90.00 90.00
Space group P4/mmm (No. 123)
Unique sites:
Al 0.000 0.000 0.000 (multiplicity 1)
Pb 0.000 0.000 0.500 (multiplicity 1)
Au 0.000 0.500 0.165 (multiplicity 4)
Au 0.500 0.500 0.367 (multiplicity 2)

---

# 2
This record from Alexandria via LeMat-Bulk describes Ca2AlSiPd6 after structural relaxation. The functional is GGA-PBE.

Values from the calculation:
Uncorrected energy, eV/atom: -5.0829
Density, g cm⁻³: 6.61
Formation energy (no corrections), meV per atom: -650

abc: 5.643 6.391 6.634
angles: 81.82 64.89 64.03
Space group P-1 (No. 2)
Unique sites:
Ca 0.019 0.240 0.222 (multiplicity 2)
Al 0.500 0.500 0.000 (multiplicity 1)
Si 0.500 0.000 0.500 (multiplicity 1)
Pd 0.009 0.227 0.749 (multiplicity 2)
Pd 0.361 0.393 0.392 (multiplicity 2)
Pd 0.487 0.776 0.247 (multiplicity 2)

---

# 3
This record from Alexandria via LeMat-Bulk describes KZnP2 after structural relaxation. The functional is GGA-PBE.

Values from the calculation:
Uncorrected energy, eV/atom: -3.4141
Formation energy, kJ/mol of formula units: -44.9
Density, g cm⁻³: 2.89

abc: 4.103 3.617 6.624
angles: 90.00 103.38 90.00
Space group P2/m (No. 10)
Unique sites:
K 0.000 0.000 0.000 (multiplicity 1)
Zn 0.000 0.000 0.500 (multiplicity 1)
P 0.403 0.500 0.639 (multiplicity 2)

---

# 4
This record from Alexandria via LeMat-Bulk describes Al2PRh2 after structural relaxation. The functional is GGA-PBE.

Values from the calculation:
Uncorrected energy, eV/atom: -6.0578
Formation energy, kJ/mol of formula units: -259.6
Density, g cm⁻³: 6.61

abc: 7.069 7.069 2.923
angles: 90.00 90.00 90.00
Space group P4/mbm (No. 127)
Unique sites:
Al 0.143 0.357 0.000 (multiplicity 4)
P 0.000 0.000 0.500 (multiplicity 2)
Rh 0.155 0.655 0.500 (multiplicity 4)

---

# 5
This record from Alexandria via LeMat-Bulk describes La12AlCu5 after structural relaxation. The functional is GGA-PBE.

Values from the calculation:
Uncorrected energy, eV/atom: -4.7430
Formation energy, kJ/mol of formula units: -195.1
Density, g cm⁻³: 6.35

abc: 9.852 10.126 10.553
angles: 90.00 90.00 90.00
Space group Immm (No. 71)
Unique sites:
La 0.000 0.188 0.244 (multiplicity 8)
La 0.204 0.500 0.173 (multiplicity 8)
La 0.227 0.324 0.500 (multiplicity 8)
Al 0.000 0.000 0.500 (multiplicity 2)
Cu 0.000 0.000 0.000 (multiplicity 2)
Cu 0.000 0.359 0.000 (multiplicity 4)
Cu 0.000 0.500 0.380 (multiplicity 4)

---

# 6
This record from Alexandria via LeMat-Bulk describes CoTcSe2 after structural relaxation. The functional is GGA-PBE.

Values from the calculation:
Uncorrected energy, eV/atom: -5.3259
Density, g cm⁻³: 8.38
Formation energy (no corrections), meV per atom: 784
Energy above the most stable polymorph in this dataset, kJ/mol of atoms: 101.9

abc: 6.295 6.295 6.295
angles: 90.00 90.00 90.00
Space group F-43m (No. 216)
Unique sites:
Co 0.000 0.000 0.000 (multiplicity 4)
Tc 0.250 0.250 0.250 (multiplicity 4)
Se 0.000 0.000 0.500 (multiplicity 4)
Se 0.250 0.250 0.750 (multiplicity 4)